# 1
DFT (GGA-PBE) results for crystalline CrTcNi2 at its relaxed geometry.

extended XYZ file:
```
4
Lattice="-1.843 1.843 3.537 1.843 -1.843 3.537 1.843 1.843 -3.537" Properties=species:S:1:pos:R:3 pbc="T T T"
Cr 0.000 0.000 0.000
Tc 0.000 1.843 1.768
Ni 1.843 0.000 1.768
Ni 0.000 0.000 3.537
```

- SG: No. 119
- DOS at the Fermi energy: 1.650 states/eV/atom
- Energy relative to the elements: 55.5 meV/atom
- Total DFT energy (no corrections): -7.833 eV per atom
- Polymorph energy (0 for the lowest one): 0.054 eV per atom
- Crystal system: tetragonal

***

# 2
DFT (GGA-PBE) results for crystalline Cr2TcNi2 at its relaxed geometry.

extended XYZ file:
```
5
Lattice="-1.653 1.653 5.695 1.653 -1.653 5.695 1.653 1.653 -5.695" Properties=species:S:1:pos:R:3 pbc="T T T"
Cr 1.653 0.000 2.847
Cr 0.000 1.653 2.847
Tc 0.000 0.000 0.000
Ni 0.000 0.000 4.586
Ni 0.000 0.000 6.803
```

- SG: No. 139
- DOS at the Fermi energy: 0.941 states/eV/atom
- Energy relative to the elements: 422.7 meV/atom
- Total DFT energy (no corrections): -7.812 eV per atom
- Polymorph energy (0 for the lowest one): 0.248 eV per atom
- Crystal system: tetragonal

***

# 3
DFT (GGA-PBE) results for crystalline CrTcNi2 at its relaxed geometry.

extended XYZ file:
```
4
Lattice="3.560 0.000 0.000 0.000 3.560 0.000 0.000 0.000 3.803" Properties=species:S:1:pos:R:3 pbc="T T T"
Cr 0.000 0.000 0.000
Tc 1.780 1.780 0.000
Ni 0.000 1.780 1.902
Ni 1.780 0.000 1.902
```

- SG: No. 123
- DOS at the Fermi energy: 1.279 states/eV/atom
- Energy relative to the elements: 13.1 meV/atom
- Total DFT energy (no corrections): -7.875 eV per atom
- Polymorph energy (0 for the lowest one): 0.011 eV per atom
- Crystal system: tetragonal

***

# 4
DFT (GGA-PBE) results for crystalline CrTc3Ni at its relaxed geometry.

extended XYZ file:
```
5
Lattice="4.354 0.000 0.000 0.000 4.354 0.000 0.000 0.000 4.354" Properties=species:S:1:pos:R:3 pbc="T T T"
Cr 0.000 0.000 0.000
Tc 0.000 2.177 2.177
Tc 2.177 0.000 2.177
Tc 2.177 2.177 0.000
Ni 2.177 2.177 2.177
```

- SG: No. 221
- DOS at the Fermi energy: 2.359 states/eV/atom
- Energy relative to the elements: 1704.1 meV/atom
- Total DFT energy (no corrections): -7.596 eV per atom
- Polymorph energy (0 for the lowest one): 0.326 eV per atom
- Crystal system: cubic

***

# 5
DFT (GGA-PBE) results for crystalline CrTcNi at its relaxed geometry.

extended XYZ file:
```
6
Lattice="2.244 -3.912 0.000 2.244 3.912 0.000 -1.469 0.000 4.269" Properties=species:S:1:pos:R:3 pbc="T T T"
Cr 0.000 0.000 0.000
Cr 1.509 0.000 2.135
Tc 1.509 2.600 2.135
Tc 1.509 -2.600 2.135
Ni 2.244 1.279 0.000
Ni 2.244 -1.279 0.000
```

- SG: No. 12
- DOS at the Fermi energy: 1.159 states/eV/atom
- Energy relative to the elements: 106.1 meV/atom
- Total DFT energy (no corrections): -8.484 eV per atom
- Polymorph energy (0 for the lowest one): 0.071 eV per atom
- Crystal system: monoclinic

***

# 6
DFT (GGA-PBE) results for crystalline CrTcNi14 at its relaxed geometry.

extended XYZ file:
```
16
Lattice="5.027 0.000 0.000 0.000 5.027 0.000 0.000 0.000 7.055" Properties=species:S:1:pos:R:3 pbc="T T T"
Cr 0.000 0.000 0.000
Tc 2.513 2.513 0.000
Ni 0.000 0.000 3.528
Ni 0.000 2.513 0.000
Ni 0.000 2.513 3.528
Ni 1.252 1.252 1.772
Ni 1.252 1.252 5.283
Ni 1.252 3.775 1.772
Ni 1.252 3.775 5.283
Ni 2.513 0.000 0.000
Ni 2.513 0.000 3.528
Ni 2.513 2.513 3.528
Ni 3.775 1.252 1.772
Ni 3.775 1.252 5.283
Ni 3.775 3.775 1.772
Ni 3.775 3.775 5.283
```

- SG: No. 123
- DOS at the Fermi energy: 1.691 states/eV/atom
- Energy relative to the elements: 13.9 meV/atom
- Total DFT energy (no corrections): -6.294 eV per atom
- Crystal system: tetragonal

***

# 7
DFT (GGA-PBE) results for crystalline CrTcNi2 at its relaxed geometry.

extended XYZ file:
```
8
Lattice="-3.273 3.273 2.441 3.273 -3.273 2.441 3.273 3.273 -2.441" Properties=species:S:1:pos:R:3 pbc="T T T"
Cr 0.000 0.000 0.000
Cr 0.000 3.273 1.220
Tc 3.273 0.000 1.220
Tc 0.000 0.000 2.441
Ni 4.910 1.562 -0.610
Ni 1.562 1.637 0.610
Ni -1.637 1.711 1.831
Ni 1.711 1.637 3.051
```

- SG: No. 122
- DOS at the Fermi energy: 1.102 states/eV/atom
- Energy relative to the elements: 543.9 meV/atom
- Total DFT energy (no corrections): -7.344 eV per atom
- Polymorph energy (0 for the lowest one): 0.542 eV per atom
- Crystal system: tetragonal

***

# 8
DFT (GGA-PBE) results for crystalline CrTcNi2 at its relaxed geometry.

extended XYZ file:
```
4
Lattice="2.511 0.000 0.000 0.000 3.806 0.000 0.000 0.000 5.007" Properties=species:S:1:pos:R:3 pbc="T T T"
Cr 0.000 0.000 0.000
Tc 0.000 0.000 2.503
Ni 1.255 1.903 1.226
Ni 1.255 1.903 3.781
```

- SG: No. 47
- DOS at the Fermi energy: 1.443 states/eV/atom
- Energy relative to the elements: 48.6 meV/atom
- Total DFT energy (no corrections): -7.839 eV per atom
- Polymorph energy (0 for the lowest one): 0.047 eV per atom
- Crystal system: orthorhombic

***

# 9
DFT (GGA-PBE) results for crystalline Cr2TcNi9 at its relaxed geometry.

extended XYZ file:
```
12
Lattice="3.580 0.000 0.000 0.000 3.580 0.000 0.000 0.000 10.738" Properties=species:S:1:pos:R:3 pbc="T T T"
Cr 0.000 0.000 1.747
Cr 0.000 0.000 8.991
Tc 0.000 0.000 5.369
Ni 0.000 1.790 0.000
Ni 0.000 1.790 3.565
Ni 0.000 1.790 7.173
Ni 1.790 0.000 0.000
Ni 1.790 0.000 3.565
Ni 1.790 0.000 7.173
Ni 1.790 1.790 1.779
Ni 1.790 1.790 5.369
Ni 1.790 1.790 8.959
```

- SG: No. 123
- DOS at the Fermi energy: 1.060 states/eV/atom
- Energy relative to the elements: 29.7 meV/atom
- Total DFT energy (no corrections): -6.774 eV per atom
- Crystal system: tetragonal

***

# 10
DFT (GGA-PBE) results for crystalline CrTc3Ni at its relaxed geometry.

extended XYZ file:
```
5
Lattice="4.363 0.000 0.000 0.000 4.363 0.000 0.000 0.000 4.363" Properties=species:S:1:pos:R:3 pbc="T T T"
Cr 0.000 0.000 0.000
Tc 0.000 0.000 2.181
Tc 0.000 2.181 0.000
Tc 2.181 0.000 0.000
Ni 2.181 2.181 2.181
```

- SG: No. 221
- DOS at the Fermi energy: 1.271 states/eV/atom
- Energy relative to the elements: 1378.3 meV/atom
- Total DFT energy (no corrections): -7.922 eV per atom
- Polymorph energy (0 for the lowest one): 0.000 eV per atom
- Crystal system: cubic

***

# 11
DFT (GGA-PBE) results for crystalline CrTcNi at its relaxed geometry.

extended XYZ file:
```
6
Lattice="1.849 -5.323 0.000 1.849 5.323 0.000 0.000 0.000 3.763" Properties=species:S:1:pos:R:3 pbc="T T T"
Cr 0.000 0.000 0.000
Cr 1.849 0.000 1.882
Tc 1.849 3.628 1.882
Tc 1.849 -3.628 1.882
Ni 1.849 1.761 0.000
Ni 1.849 -1.761 0.000
```

- SG: No. 65
- DOS at the Fermi energy: 0.919 states/eV/atom
- Energy relative to the elements: 35.3 meV/atom
- Total DFT energy (no corrections): -8.555 eV per atom
- Polymorph energy (0 for the lowest one): 0.000 eV per atom
- Crystal system: orthorhombic

***

# 12
DFT (GGA-PBE) results for crystalline Cr6TcNi23 at its relaxed geometry.

extended XYZ file:
```
30
Lattice="0.000 5.581 5.581 5.581 0.000 5.581 5.581 5.581 0.000" Properties=species:S:1:pos:R:3 pbc="T T T"
Cr 5.581 5.581 2.613
Cr 5.581 2.613 5.581
Cr 8.549 5.581 5.581
Cr 2.613 5.581 5.581
Cr 5.581 8.549 5.581
Cr 5.581 5.581 8.549
Tc 0.000 0.000 0.000
Ni 2.791 2.791 0.000
Ni 2.791 0.000 2.791
Ni 5.581 2.791 2.791
Ni 6.962 4.200 4.200
Ni 1.614 1.614 1.614
Ni 3.967 3.967 1.614
Ni 3.967 1.614 3.967
Ni 4.200 4.200 4.200
Ni 6.962 6.962 4.200
Ni 6.962 4.200 6.962
Ni 9.549 7.195 7.195
Ni 0.000 2.791 2.791
Ni 2.791 5.581 2.791
Ni 2.791 2.791 5.581
Ni 5.581 5.581 5.581
Ni 1.614 3.967 3.967
Ni 4.200 6.962 4.200
Ni 4.200 4.200 6.962
Ni 6.962 6.962 6.962
Ni 7.195 9.549 7.195
Ni 7.195 7.195 9.549
Ni 9.549 9.549 9.549
Ni 4.200 6.962 6.962
```

- SG: No. 225
- DOS at the Fermi energy: 1.521 states/eV/atom
- Energy relative to the elements: 155.3 meV/atom
- Total DFT energy (no corrections): -6.547 eV per atom
- Crystal system: cubic

***

# 13
DFT (GGA-PBE) results for crystalline CrTcNi at its relaxed geometry.

extended XYZ file:
```
6
Lattice="2.528 0.000 0.000 0.836 4.781 0.000 0.775 1.192 6.170" Properties=species:S:1:pos:R:3 pbc="T T T"
Cr 0.800 1.233 0.090
Cr 3.338 4.739 6.081
Tc 0.818 1.364 4.146
Tc 3.320 4.608 2.024
Ni 2.090 3.629 4.138
Ni 2.048 2.343 2.032
```

- SG: No. 2
- DOS at the Fermi energy: 0.977 states/eV/atom
- Energy relative to the elements: 50.5 meV/atom
- Total DFT energy (no corrections): -8.540 eV per atom
- Polymorph energy (0 for the lowest one): 0.015 eV per atom
- Crystal system: triclinic

***

# 14
DFT (GGA-PBE) results for crystalline Cr2Tc2Ni15 at its relaxed geometry.

extended XYZ file:
```
19
Lattice="3.995 2.307 4.096 -3.995 2.307 4.096 0.000 -4.614 4.096" Properties=species:S:1:pos:R:3 pbc="T T T"
Cr 0.000 0.000 1.146
Cr 0.000 0.000 11.144
Tc 0.000 0.000 3.511
Tc 0.000 0.000 8.779
Ni -3.995 0.000 6.145
Ni -1.271 -2.412 4.096
Ni -1.998 1.153 2.048
Ni -2.725 0.106 4.096
Ni -1.972 -1.138 6.048
Ni 1.271 -2.412 4.096
Ni -1.454 2.307 4.096
Ni 0.000 -2.277 6.242
Ni -1.972 1.138 6.242
Ni 1.998 1.153 2.048
Ni 1.972 -1.138 6.048
Ni 0.000 2.277 6.048
Ni 2.725 0.106 4.096
Ni 1.454 2.307 4.096
Ni 1.972 1.138 6.242
```

- SG: No. 166
- DOS at the Fermi energy: 1.459 states/eV/atom
- Energy relative to the elements: 208.6 meV/atom
- Total DFT energy (no corrections): -6.460 eV per atom
- Crystal system: trigonal

***

# 15
DFT (GGA-PBE) results for crystalline Cr2TcNi2 at its relaxed geometry.

extended XYZ file:
```
10
Lattice="6.952 0.000 0.000 0.000 6.952 0.000 0.000 0.000 2.506" Properties=species:S:1:pos:R:3 pbc="T T T"
Cr 0.799 2.677 0.000
Cr 2.677 6.153 0.000
Cr 4.275 0.799 0.000
Cr 6.153 4.275 0.000
Tc 0.000 0.000 0.000
Tc 3.476 3.476 0.000
Ni 1.249 4.725 1.253
Ni 2.227 1.249 1.253
Ni 4.725 5.703 1.253
Ni 5.703 2.227 1.253
```

- SG: No. 127
- DOS at the Fermi energy: 1.374 states/eV/atom
- Energy relative to the elements: 227.6 meV/atom
- Total DFT energy (no corrections): -8.007 eV per atom
- Polymorph energy (0 for the lowest one): 0.052 eV per atom
- Crystal system: tetragonal

***

# 16
DFT (GGA-PBE) results for crystalline CrTcNi2 at its relaxed geometry.

extended XYZ file:
```
4
Lattice="4.224 -1.258 0.000 4.224 1.258 0.000 -0.624 0.000 4.523" Properties=species:S:1:pos:R:3 pbc="T T T"
Cr 0.000 0.000 0.000
Tc 6.258 0.000 1.207
Ni 1.707 0.000 3.447
Ni 3.964 0.000 2.373
```

- SG: No. 8
- DOS at the Fermi energy: 1.108 states/eV/atom
- Energy relative to the elements: 50.1 meV/atom
- Total DFT energy (no corrections): -7.838 eV per atom
- Polymorph energy (0 for the lowest one): 0.048 eV per atom
- Crystal system: monoclinic

***

# 17
DFT (GGA-PBE) results for crystalline CrTcNi at its relaxed geometry.

extended XYZ file:
```
6
Lattice="2.524 0.000 0.000 0.000 3.918 0.000 -1.009 0.000 7.538" Properties=species:S:1:pos:R:3 pbc="T T T"
Cr 0.000 0.000 0.000
Cr 0.780 1.959 1.152
Tc 1.682 0.000 2.418
Tc 1.681 0.000 5.044
Ni 0.428 1.959 3.753
Ni 0.395 1.959 6.297
```

- SG: No. 6
- DOS at the Fermi energy: 0.959 states/eV/atom
- Energy relative to the elements: 70.9 meV/atom
- Total DFT energy (no corrections): -8.519 eV per atom
- Polymorph energy (0 for the lowest one): 0.036 eV per atom
- Crystal system: monoclinic

***

# 18
DFT (GGA-PBE) results for crystalline CrTcNi at its relaxed geometry.

extended XYZ file:
```
3
Lattice="2.606 0.000 0.000 -1.303 2.257 0.000 0.000 0.000 6.429" Properties=species:S:1:pos:R:3 pbc="T T T"
Cr 0.000 0.000 0.000
Tc 0.000 1.505 4.218
Ni 1.303 0.752 2.019
```

- SG: No. 156
- DOS at the Fermi energy: 1.412 states/eV/atom
- Energy relative to the elements: 193.9 meV/atom
- Total DFT energy (no corrections): -8.396 eV per atom
- Polymorph energy (0 for the lowest one): 0.159 eV per atom
- Crystal system: trigonal

***

# 19
DFT (GGA-PBE) results for crystalline CrTcNi at its relaxed geometry.

extended XYZ file:
```
3
Lattice="-1.269 1.269 5.794 1.269 -1.269 5.794 1.269 1.269 -5.794" Properties=species:S:1:pos:R:3 pbc="T T T"
Cr 0.000 0.000 0.000
Tc 0.000 0.000 3.729
Ni 0.000 0.000 7.557
```

- SG: No. 107
- DOS at the Fermi energy: 1.430 states/eV/atom
- Energy relative to the elements: 118.2 meV/atom
- Total DFT energy (no corrections): -8.472 eV per atom
- Polymorph energy (0 for the lowest one): 0.083 eV per atom
- Crystal system: tetragonal

***

# 20
DFT (GGA-PBE) results for crystalline CrTcNi at its relaxed geometry.

extended XYZ file:
```
6
Lattice="2.531 0.000 0.000 0.895 4.799 0.000 0.730 1.143 6.153" Properties=species:S:1:pos:R:3 pbc="T T T"
Cr 0.000 0.000 0.000
Cr 1.628 2.499 4.210
Tc 0.730 0.987 2.251
Tc 1.636 2.412 0.205
Ni 2.921 4.793 4.258
Ni 2.896 3.530 2.198
```

- SG: No. 1
- DOS at the Fermi energy: 1.007 states/eV/atom
- Energy relative to the elements: 77.9 meV/atom
- Total DFT energy (no corrections): -8.512 eV per atom
- Polymorph energy (0 for the lowest one): 0.043 eV per atom
- Crystal system: triclinic

***

# 21
DFT (GGA-PBE) results for crystalline Cr2TcNi5 at its relaxed geometry.

extended XYZ file:
```
8
Lattice="0.000 3.566 3.684 3.560 0.000 3.684 3.560 3.566 0.000" Properties=species:S:1:pos:R:3 pbc="T T T"
Cr 1.780 1.783 0.000
Cr 1.780 1.783 3.684
Tc 0.000 0.000 0.000
Ni 1.780 0.000 1.842
Ni 3.560 1.783 1.842
Ni 0.000 1.783 1.842
Ni 1.780 3.566 1.842
Ni 3.560 3.566 3.684
```

- SG: No. 69
- DOS at the Fermi energy: 1.404 states/eV/atom
- Energy relative to the elements: 30.7 meV/atom
- Total DFT energy (no corrections): -7.284 eV per atom
- Crystal system: orthorhombic

***

# 22
DFT (GGA-PBE) results for crystalline CrTcNi2 at its relaxed geometry.

extended XYZ file:
```
4
Lattice="0.000 2.895 2.895 2.895 0.000 2.895 2.895 2.895 0.000" Properties=species:S:1:pos:R:3 pbc="T T T"
Cr 0.000 0.000 0.000
Tc 1.447 1.447 1.447
Ni 2.895 2.895 2.895
Ni 4.342 4.342 4.342
```

- SG: No. 216
- DOS at the Fermi energy: 1.517 states/eV/atom
- Energy relative to the elements: 140.4 meV/atom
- Total DFT energy (no corrections): -7.748 eV per atom
- Polymorph energy (0 for the lowest one): 0.139 eV per atom
- Crystal system: cubic

***

# 23
DFT (GGA-PBE) results for crystalline CrTcNi at its relaxed geometry.

extended XYZ file:
```
6
Lattice="2.559 0.000 0.000 -0.580 5.178 0.000 -1.046 -1.288 5.645" Properties=species:S:1:pos:R:3 pbc="T T T"
Cr -0.032 0.040 1.999
Cr 0.965 3.851 3.646
Tc -0.159 -0.012 5.589
Tc 1.091 3.903 0.055
Ni -0.269 2.564 1.913
Ni 1.201 1.327 3.732
```

- SG: No. 2
- DOS at the Fermi energy: 1.011 states/eV/atom
- Energy relative to the elements: 94.4 meV/atom
- Total DFT energy (no corrections): -8.496 eV per atom
- Polymorph energy (0 for the lowest one): 0.059 eV per atom
- Crystal system: triclinic

***

# 24
DFT (GGA-PBE) results for crystalline CrTcNi6 at its relaxed geometry.

extended XYZ file:
```
8
Lattice="3.228 1.864 2.978 -3.228 1.864 2.978 0.000 -3.727 2.978" Properties=species:S:1:pos:R:3 pbc="T T T"
Cr 0.000 0.000 0.000
Tc 0.000 0.000 4.467
Ni -2.037 -1.176 4.031
Ni 0.000 -2.352 4.904
Ni -2.037 1.176 4.904
Ni 2.037 -1.176 4.031
Ni 0.000 2.352 4.031
Ni 2.037 1.176 4.904
```

- SG: No. 166
- DOS at the Fermi energy: 1.876 states/eV/atom
- Energy relative to the elements: 627.3 meV/atom
- Total DFT energy (no corrections): -6.207 eV per atom
- Polymorph energy (0 for the lowest one): 0.630 eV per atom
- Crystal system: trigonal